[1]
CePm6Er2Tm3 | GGA-PBE | optimized geometry

Properties
DFT total energy (Ha/atom): -0.1731
Energy relative to the elements (eV/atom): 0.039
Calculated volume (Å³ per cell): 775.1

Lattice parameters (Å, degrees): 6.2101 10.7590 11.7845 90.00 100.12 90.00
Last column: nearest neighbours and their distance in Å.
Space group C2/m (No. 12)
Asymmetric unit:
1 Ce 0.0000 0.0000 0.0000 x2  6 Pm 3.56-3.57, 6 Er 3.58-3.59
2 Pm 0.2483 0.0000 0.7492 x4  3 Tm 3.56, 1 Ce 3.57, 6 Pm 3.57-3.60, 2 Er 3.57
3 Pm 0.2490 0.1658 0.2507 x8  3 Tm 3.55-3.56, 1 Ce 3.56, 6 Pm 3.57-3.60, 2 Er 3.57-3.58
4 Er 0.0000 0.3335 0.0000 x4  6 Pm 3.57-3.58, 3 Er 3.58-3.59, 3 Ce 3.58-3.59
5 Tm 0.0000 0.1672 0.5000 x4  6 Pm 3.55-3.56, 6 Tm 3.58-3.60
6 Tm 0.0000 0.5000 0.5000 x2  6 Pm 3.55-3.56, 6 Tm 3.58-3.59

[2]
Ce2PmEr6Tm3 | GGA-PBE | optimized geometry

Properties
DFT total energy (Ha/atom): -0.1739
Energy relative to the elements (eV/atom): 0.052
Calculated volume (Å³ per cell): 735.2

Lattice parameters (Å, degrees): 6.0868 10.5396 11.6391 90.00 100.05 90.00
Last column: nearest neighbours and their distance in Å.
Space group C2/m (No. 12)
Asymmetric unit:
1 Ce 0.0000 0.1667 0.0000 x4  3 Ce 3.51, 3 Pm 3.51, 6 Er 3.52
2 Pm 0.0000 0.5000 0.0000 x2  6 Ce 3.51, 6 Er 3.53
3 Er 0.2483 0.0000 0.2513 x4  3 Tm 3.49-3.50, 6 Er 3.50-3.54, 2 Ce 3.52, 1 Pm 3.53
4 Er 0.2478 0.1679 0.7486 x8  3 Tm 3.49-3.50, 6 Er 3.50-3.54, 2 Ce 3.52, 1 Pm 3.53
5 Tm 0.0000 0.0000 0.5000 x2  6 Er 3.49-3.50, 6 Tm 3.51-3.52
6 Tm 0.0000 0.3337 0.5000 x4  6 Er 3.49-3.50, 6 Tm 3.51-3.52

[3]
CePmYEr | GGA-PBE | optimized geometry

Properties
DFT total energy (Ha/atom): -0.1925
Energy relative to the elements (eV/atom): 0.190
Calculated volume (Å³ per cell): 523.2

Lattice parameters (Å, degrees): 8.0579 8.0579 8.0579 90.00 90.00 90.00
Last column: nearest neighbours and their distance in Å.
Space group F-43m (No. 216)
Asymmetric unit:
1 Ce 0.0000 0.0000 0.0000 x4  4 Pm 3.49, 4 Er 3.49
2 Pm 0.2500 0.2500 0.2500 x4  4 Y 3.49, 4 Ce 3.49
3 Y 0.0000 0.0000 0.5000 x4  4 Er 3.49, 4 Pm 3.49
4 Er 0.2500 0.2500 0.7500 x4  4 Ce 3.49, 4 Y 3.49

[4]
CePm6Y3Er2 | GGA-PBE | optimized geometry

Properties
DFT total energy (Ha/atom): -0.1915
Energy relative to the elements (eV/atom): 0.036
Calculated volume (Å³ per cell): 790.6

Lattice parameters (Å, degrees): 6.2457 10.8196 11.8835 90.00 100.10 90.00
Last column: nearest neighbours and their distance in Å.
Space group C2/m (No. 12)
Asymmetric unit:
1 Ce 0.0000 0.0000 0.0000 x2  6 Pm 3.57, 6 Er 3.61
2 Pm 0.2481 0.1658 0.2483 x8  1 Ce 3.57, 2 Er 3.58, 6 Pm 3.59-3.62, 3 Y 3.60-3.61
3 Pm 0.2492 0.0000 0.7516 x4  1 Ce 3.57, 2 Er 3.58, 6 Pm 3.59-3.62, 3 Y 3.61
4 Y 0.0000 0.1672 0.5000 x4  6 Y 3.60-3.62, 6 Pm 3.60-3.61
5 Y 0.0000 0.5000 0.5000 x2  6 Y 3.60-3.61, 6 Pm 3.60-3.61
6 Er 0.0000 0.3335 0.0000 x4  6 Pm 3.58, 3 Er 3.60-3.61, 3 Ce 3.61

Computed total magnetization (μB/cell) in order:
2.69; 3.54; 11.50; 2.71